[1]
An optimized crystal structure of AsHIBr2. Source: Alexandria via LeMat-Bulk, functional GGA-PBE.

Cell: 5.8914 5.8914 5.6823 Å, 90.00 90.00 90.00°
Closest atoms and distances in Å follow each position.
Sites, in units of the cell vectors:
As: 0.0000 0.0000 0.0000  2 I 2.84
H: 0.5000 0.5000 0.0000  8 Br 4.09, 4 As 4.17
I: 0.0000 0.0000 0.5000  2 As 2.84, 4 Br 2.95
Br: 0.0000 0.5000 0.5000  2 I 2.95
Br: 0.5000 0.0000 0.5000  2 I 2.95

The volume comes out at 197.2 Å³/cell. Its density of states at the Fermi level is 0.2897 states/eV/atom. The mass density is 3.05 g cm⁻³. The value obtained for the total energy is -8.5 eV for the cell shown. The value obtained for the total magnetic moment is 3.0 μB/cell.


[2]
An optimized crystal structure of AsHIBr2. Source: Alexandria via LeMat-Bulk, functional GGA-PBE.

Cell: 5.7343 5.7343 3.5001 Å, 90.00 90.00 90.00°
Closest atoms and distances in Å follow each position.
Sites, in units of the cell vectors:
As: 0.0000 0.0000 0.0000  2 H 1.75
H: 0.0000 0.0000 0.5000  2 As 1.75
I: 0.5000 0.5000 0.0000  8 Br 3.36, 2 I 3.50
Br: 0.0000 0.5000 0.5000  2 H 2.87
Br: 0.5000 0.0000 0.5000  2 H 2.87

The volume comes out at 115.1 Å³/cell. Its density of states at the Fermi level is 0.9478 states/eV/atom. The mass density is 5.23 g cm⁻³. The value obtained for the total energy is -10.0 eV for the cell shown. The value obtained for the total magnetic moment is 0.0 μB/cell.


[3]
An optimized crystal structure of InAs2HBr. Source: Alexandria via LeMat-Bulk, functional GGA-PBE.

Cell: 5.3670 5.3670 5.7207 Å, 90.00 90.00 90.00°
Closest atoms and distances in Å follow each position.
Sites, in units of the cell vectors:
In: 0.0000 0.0000 0.0000  4 As 2.68, 2 Br 2.86
As: 0.0000 0.5000 0.0000  2 In 2.68
As: 0.5000 0.0000 0.0000  2 In 2.68
H: 0.5000 0.5000 0.5000  4 Br 3.80, 8 As 3.92
Br: 0.0000 0.0000 0.5000  2 In 2.86

The volume comes out at 164.8 Å³/cell. Its density of states at the Fermi level is 0.4671 states/eV/atom. The mass density is 3.48 g cm⁻³. The value obtained for the total energy is -12.2 eV for the cell shown. The value obtained for the total magnetic moment is 3.1 μB/cell.


The highest volume belongs to which entry?
number 1


Which of these has the lowest total magnetic moment?
number 2